No. 1
Zn2As2Ir | PBE | optimized geometry

Lattice parameters (Å, degrees): 6.8457 6.8457 3.5025 90.00 90.00 90.00
With the nearest neighbours (Å) after each atom.
Atoms (fractional coordinates):
Zn1 0.1289 0.3711 0.0000  1 Zn 2.50, 6 As 2.53-2.78, 2 Ir 2.69
Zn2 0.3711 0.8711 0.0000  1 Zn 2.50, 6 As 2.53-2.78, 2 Ir 2.69
Zn3 0.6289 0.1289 0.0000  1 Zn 2.50, 6 As 2.53-2.78, 2 Ir 2.69
Zn4 0.8711 0.6289 0.0000  1 Zn 2.50, 6 As 2.53-2.78, 2 Ir 2.69
As1 0.1824 0.6824 0.5000  6 Zn 2.53-2.78
As2 0.3176 0.1824 0.5000  6 Zn 2.53-2.78
As3 0.6824 0.8176 0.5000  6 Zn 2.53-2.78
As4 0.8176 0.3176 0.5000  6 Zn 2.53-2.78
Ir1 0.0000 0.0000 0.0000  4 Zn 2.69
Ir2 0.5000 0.5000 0.0000  4 Zn 2.69

Values from the calculation:
- Crystal system: tetragonal
- Energy of formation from the pure elements: 323.9 meV per atom
- Space-group type: P4/mbm, No. 127

***

No. 2
ScCuGe | PBE | optimized geometry

Lattice parameters (Å, degrees): 7.1458 7.1458 4.1662 90.00 90.00 120.00
With the nearest neighbours (Å) after each atom.
Atoms (fractional coordinates):
Sc1 0.0000 0.0000 0.0000  6 Ge 2.76, 3 Cu 2.94
Sc2 0.3333 0.6667 0.5000  3 Ge 2.71, 6 Cu 3.00
Sc3 0.6667 0.3333 0.5000  3 Ge 2.71, 6 Cu 3.00
Cu1 0.0000 0.4110 0.0000  2 Ge 2.37
Cu2 0.4110 0.0000 0.0000  2 Ge 2.37
Cu3 0.5890 0.5890 0.0000  2 Ge 2.37
Ge1 0.0000 0.2542 0.5000  2 Cu 2.37
Ge2 0.2542 0.0000 0.5000  2 Cu 2.37
Ge3 0.7458 0.7458 0.5000  2 Cu 2.37

Values from the calculation:
- Crystal system: hexagonal
- Energy of formation from the pure elements: -26.4 meV per atom
- Space-group type: P-62m, No. 189

***

No. 3
Mn3CuTc | PBE | optimized geometry

Lattice parameters (Å, degrees): 4.5517 4.5517 4.5517 90.00 90.00 90.00
With the nearest neighbours (Å) after each atom.
Atoms (fractional coordinates):
Mn1 0.0000 0.0000 0.5000  2 Tc 2.28
Mn2 0.0000 0.5000 0.0000  2 Tc 2.28
Mn3 0.5000 0.0000 0.0000  2 Tc 2.28
Cu1 0.5000 0.5000 0.5000  12 Mn 3.22
Tc1 0.0000 0.0000 0.0000  6 Mn 2.28

Values from the calculation:
- Crystal system: cubic
- Energy of formation from the pure elements: 1359.1 meV per atom
- Space-group type: Pm-3m, No. 221

***

No. 4
Cs3Sn2Cl7 | PBE | optimized geometry

Lattice parameters (Å, degrees): 14.4335 14.4335 5.5631 90.00 90.00 157.30
With the nearest neighbours (Å) after each atom.
Atoms (fractional coordinates):
Cs1 0.0000 0.0000 0.0000  12 Cl 3.98-4.07
Cs2 0.1841 0.8159 0.0000  8 Cl 3.65-4.00
Cs3 0.8159 0.1841 0.0000  8 Cl 3.65-4.00
Sn1 0.3971 0.6029 0.5000  6 Cl 2.74-2.91
Sn2 0.6029 0.3971 0.5000  6 Cl 2.74-2.91
Cl1 0.1007 0.8993 0.5000  2 Sn 2.84
Cl2 0.3004 0.6996 0.5000  1 Sn 2.74
Cl3 0.3970 0.6030 0.0000  2 Sn 2.78
Cl4 0.5000 0.5000 0.5000  2 Sn 2.91
Cl5 0.6030 0.3970 0.0000  2 Sn 2.78
Cl6 0.6996 0.3004 0.5000  1 Sn 2.74
Cl7 0.8993 0.1007 0.5000  2 Sn 2.84

Values from the calculation:
- Crystal system: orthorhombic
- Space-group type: Cmmm, No. 65
- Raw formation energy: -18.16 eV per formula unit

***

No. 5
Ca2AcCeSb4 | PBE | optimized geometry

Lattice parameters (Å, degrees): 7.7742 4.6727 8.0587 90.00 110.51 90.00
With the nearest neighbours (Å) after each atom.
Atoms (fractional coordinates):
Ca1 0.0000 0.0000 0.0000  6 Sb 3.19
Ca2 0.0000 0.5000 0.5000  6 Sb 3.32-3.34
Ac1 0.5000 0.0000 0.5000  6 Sb 3.31
Ce1 0.5000 0.5000 0.0000  6 Sb 3.17-3.18
Sb1 0.2461 0.5000 0.2340  1 Ce 3.17, 3 Ca 3.19-3.34, 2 Ac 3.31
Sb2 0.2567 0.0000 0.7655  2 Ce 3.18, 3 Ca 3.19-3.32, 1 Ac 3.31
Sb3 0.7433 0.0000 0.2345  2 Ce 3.18, 3 Ca 3.19-3.32, 1 Ac 3.31
Sb4 0.7539 0.5000 0.7660  1 Ce 3.17, 3 Ca 3.19-3.34, 2 Ac 3.31

Values from the calculation:
- Crystal system: monoclinic
- Space-group type: P2/m, No. 10
- Raw formation energy: -7.59 eV per formula unit

***

No. 6
Er3Cu2Ru | PBE | optimized geometry

Lattice parameters (Å, degrees): 4.8125 4.8125 5.9584 90.00 90.00 120.00
With the nearest neighbours (Å) after each atom.
Atoms (fractional coordinates):
Er1 0.0000 0.0000 0.0000  6 Cu 2.96, 2 Ru 2.98
Er2 0.3333 0.6667 0.6607  5 Cu 2.92-3.04, 3 Ru 2.94
Er3 0.6667 0.3333 0.3393  5 Cu 2.92-3.04, 3 Ru 2.94
Cu1 0.3333 0.6667 0.1703  8 Er 2.92-3.04
Cu2 0.6667 0.3333 0.8297  8 Er 2.92-3.04
Ru1 0.0000 0.0000 0.5000  8 Er 2.94-2.98

Values from the calculation:
- Crystal system: trigonal
- Energy of formation from the pure elements: -341.6 meV per atom
- Space-group type: P-3m1, No. 164

***

No. 7
Ac5SiGe4 | PBE | optimized geometry

Lattice parameters (Å, degrees): 7.9615 7.9615 7.9615 99.56 99.56 131.91
With the nearest neighbours (Å) after each atom.
Atoms (fractional coordinates):
Ac1 0.0000 0.0000 0.0000  2 Si 3.24, 4 Ge 3.25
Ac2 0.2028 0.5993 0.8021  1 Si 3.22, 5 Ge 3.24-3.27
Ac3 0.4007 0.2028 0.6034  1 Si 3.22, 5 Ge 3.24-3.27
Ac4 0.5993 0.7972 0.3966  1 Si 3.22, 5 Ge 3.24-3.27
Ac5 0.7972 0.4007 0.1979  1 Si 3.22, 5 Ge 3.24-3.27
Si1 0.5000 0.5000 0.0000  6 Ac 3.22-3.24
Ge1 0.0981 0.3007 0.3988  6 Ac 3.24-3.27
Ge2 0.3007 0.9019 0.2026  6 Ac 3.24-3.27
Ge3 0.6993 0.0981 0.7974  6 Ac 3.24-3.27
Ge4 0.9019 0.6993 0.6012  6 Ac 3.24-3.27

Values from the calculation:
- Crystal system: tetragonal
- Space-group type: I4/m, No. 87
- Raw formation energy: -4.84 eV per formula unit

***

No. 8
Pu2HfZr | PBE | optimized geometry

Lattice parameters (Å, degrees): 3.2469 3.2469 31.5673 90.00 90.00 120.00
With the nearest neighbours (Å) after each atom.
Atoms (fractional coordinates):
Pu1 0.0000 0.0000 0.2493  3 Hf 3.21, 6 Pu 3.25, 3 Zr 3.25
Pu2 0.0000 0.0000 0.7507  3 Hf 3.21, 6 Pu 3.25, 3 Zr 3.25
Pu3 0.3333 0.6667 0.4173  3 Hf 3.21, 6 Pu 3.25, 3 Zr 3.25
Pu4 0.3333 0.6667 0.9160  3 Hf 3.21, 6 Pu 3.25, 3 Zr 3.25
Pu5 0.6667 0.3333 0.0840  3 Hf 3.21, 6 Pu 3.25, 3 Zr 3.25
Pu6 0.6667 0.3333 0.5827  3 Hf 3.21, 6 Pu 3.25, 3 Zr 3.25
Hf1 0.0000 0.0000 0.5000  6 Pu 3.21, 6 Hf 3.25
Hf2 0.3333 0.6667 0.1667  6 Pu 3.21, 6 Hf 3.25
Hf3 0.6667 0.3333 0.8333  6 Pu 3.21, 6 Hf 3.25
Zr1 0.0000 0.0000 0.0000  6 Zr 3.25, 6 Pu 3.25
Zr2 0.3333 0.6667 0.6667  6 Zr 3.25, 6 Pu 3.25
Zr3 0.6667 0.3333 0.3333  6 Zr 3.25, 6 Pu 3.25

Values from the calculation:
- Crystal system: trigonal
- Energy of formation from the pure elements: 179.4 meV per atom
- Space-group type: R-3m, No. 166

***

No. 9
PH5Se2 | PBE | optimized geometry

Lattice parameters (Å, degrees): 4.7431 5.0874 5.9678 103.27 95.24 114.60
With the nearest neighbours (Å) after each atom.
Atoms (fractional coordinates):
P1 0.0000 0.0000 0.0000  4 H 1.42-1.45
H1 0.3299 0.1270 0.0915  1 P 1.42
H2 0.4310 0.5816 0.4876  1 Se 1.53
H3 0.8631 0.0648 0.1998  1 P 1.45
H4 0.8716 0.6817 0.8851  1 P 1.43
H5 0.9331 0.1402 0.8291  1 P 1.45
Se1 0.2417 0.7540 0.4521  1 H 1.53
Se2 0.6879 0.2583 0.5366  4 H 2.33-2.47, 1 Se 2.45

Values from the calculation:
- Crystal system: triclinic
- Space-group type: P1, No. 1

***

In μB per formula unit, the M_tot values for the records above are, in order, 0.00, 0.00, 8.79, 0.00, 0.00, 0.00, 0.00, 10.89, 0.00.
In Å³/cell, the calculated volume values for the records above are, in order, 164.14, 184.24, 94.30, 447.28, 274.19, 119.51, 342.96, 288.20, 124.57.
In eV per atom, the total DFT energy (no corrections) values for the records above are, in order, -3.818, -5.041, -7.035, -3.471, -4.766, -5.534, -4.928, -11.612, -3.600.